! PBE AcSmGdEr, optimized geometry; values from VASP
! D(E_F)   7.58 states/eV per cell
! ΔH_f (0 K)   0.115 eV per atom
&SYSTEM
  ibrav = 0, nat = 4, ntyp = 4
/
ATOMIC_SPECIES
Sm 150.36 Sm.upf
Ac 227.00 Ac.upf
Er 167.26 Er.upf
Gd 157.25 Gd.upf
ATOMIC_POSITIONS angstrom
Sm 0.000 0.000 0.000
Ac 5.852 3.379 2.389
Er 8.778 5.068 3.584
Gd 2.926 1.689 1.195
CELL_PARAMETERS angstrom
5.852 0.000 0.000
2.926 5.068 0.000
2.926 1.689 4.778

! PBE AcGdErSn, optimized geometry; values from VASP
! D(E_F)   4.37 states/eV per cell
! ΔH_f (0 K)   -0.169 eV per atom
&SYSTEM
  ibrav = 0, nat = 4, ntyp = 4
/
ATOMIC_SPECIES
Sn 118.71 Sn.upf
Er 167.26 Er.upf
Gd 157.25 Gd.upf
Ac 227.00 Ac.upf
ATOMIC_POSITIONS angstrom
Sn -4.373 4.194 -3.125
Er -2.187 2.097 -1.562
Gd -6.560 6.290 -4.687
Ac 0.000 0.000 0.000
CELL_PARAMETERS angstrom
-1.938 5.214 -0.206
-1.444 2.242 -4.886
-5.364 0.932 -1.157

! PBE AcGdErTh, optimized geometry; values from VASP
! D(E_F)   7.15 states/eV per cell
! ΔH_f (0 K)   0.147 eV per atom
&SYSTEM
  ibrav = 0, nat = 4, ntyp = 4
/
ATOMIC_SPECIES
Ac 227.00 Ac.upf
Th 232.04 Th.upf
Gd 157.25 Gd.upf
Er 167.26 Er.upf
ATOMIC_POSITIONS angstrom
Ac 2.904 1.677 1.186
Th 8.713 5.030 3.557
Gd 0.000 0.000 0.000
Er 5.808 3.353 2.371
CELL_PARAMETERS angstrom
5.808 0.000 0.000
2.904 5.030 0.000
2.904 1.677 4.743

! PBE AcGdErTl, optimized geometry; values from VASP
! D(E_F)   4.92 states/eV per cell
! ΔH_f (0 K)   0.033 eV per atom
&SYSTEM
  ibrav = 0, nat = 4, ntyp = 4
/
ATOMIC_SPECIES
Gd 157.25 Gd.upf
Er 167.26 Er.upf
Tl 204.38 Tl.upf
Ac 227.00 Ac.upf
ATOMIC_POSITIONS angstrom
Gd -2.192 -2.623 -0.470
Er -6.577 -7.869 -1.411
Tl 0.000 0.000 0.000
Ac -4.385 -5.246 -0.940
CELL_PARAMETERS angstrom
-2.472 -3.298 -3.843
-1.008 -5.420 1.168
-5.289 -1.775 0.794

! PBE AcGdYEr, optimized geometry; values from VASP
! D(E_F)   6.73 states/eV per cell
! ΔH_f (0 K)   0.104 eV per atom
&SYSTEM
  ibrav = 0, nat = 4, ntyp = 4
/
ATOMIC_SPECIES
Y 88.91 Y.upf
Ac 227.00 Ac.upf
Er 167.26 Er.upf
Gd 157.25 Gd.upf
ATOMIC_POSITIONS angstrom
Y -5.632 0.970 9.068
Ac -3.755 0.646 6.045
Er -1.877 0.323 3.023
Gd 0.000 0.000 0.000
CELL_PARAMETERS angstrom
-3.786 3.342 2.922
-4.081 -2.469 3.360
0.358 0.420 5.808

! PBE AcGdErZn, optimized geometry; values from VASP
! D(E_F)   5.23 states/eV per cell
! ΔH_f (0 K)   0.175 eV per atom
&SYSTEM
  ibrav = 0, nat = 4, ntyp = 4
/
ATOMIC_SPECIES
Er 167.26 Er.upf
Zn 65.41 Zn.upf
Ac 227.00 Ac.upf
Gd 157.25 Gd.upf
ATOMIC_POSITIONS angstrom
Er 8.298 4.791 3.388
Zn 0.000 0.000 0.000
Ac 5.532 3.194 2.259
Gd 2.766 1.597 1.129
CELL_PARAMETERS angstrom
5.532 0.000 0.000
2.766 4.791 0.000
2.766 1.597 4.517

! PBE AcErGe, optimized geometry; values from VASP
! D(E_F)   6.41 states/eV per cell
! Distance to the lowest polymorph of the same formula   209.4 meV per atom
! ΔH_f (0 K)   -0.357 eV per atom
&SYSTEM
  ibrav = 0, nat = 6, ntyp = 3
/
ATOMIC_SPECIES
Ge 72.64 Ge.upf
Er 167.26 Er.upf
Ac 227.00 Ac.upf
ATOMIC_POSITIONS angstrom
Ge 0.000 5.758 0.393
Ge 1.947 0.234 6.909
Er 1.947 5.592 5.475
Er 0.000 0.400 1.826
Ac 0.000 2.233 5.336
Ac 1.947 3.760 1.965
CELL_PARAMETERS angstrom
3.894 0.000 0.000
-1.947 7.064 0.217
0.000 -1.071 7.085

! PBE AcErGe3, optimized geometry; values from VASP
! D(E_F)   5.48 states/eV per cell
! ΔH_f (0 K)   -0.684 eV per atom
&SYSTEM
  ibrav = 0, nat = 10, ntyp = 3
/
ATOMIC_SPECIES
Er 167.26 Er.upf
Ge 72.64 Ge.upf
Ac 227.00 Ac.upf
ATOMIC_POSITIONS angstrom
Er 3.046 0.000 5.647
Er 1.015 2.209 8.157
Ge 1.015 0.000 13.049
Ge 3.046 2.209 0.755
Ge 1.015 0.000 10.213
Ge 3.046 2.209 3.591
Ge 3.046 0.000 8.547
Ge 1.015 2.209 5.257
Ac 3.046 2.209 11.713
Ac 1.015 0.000 2.091
CELL_PARAMETERS angstrom
4.062 0.000 0.000
0.000 4.419 0.000
0.000 -2.209 13.804

! PBE AcErGe, optimized geometry; values from VASP
! D(E_F)   7.54 states/eV per cell
! Distance to the lowest polymorph of the same formula   0.0 meV per atom
! ΔH_f (0 K)   -0.566 eV per atom
&SYSTEM
  ibrav = 0, nat = 6, ntyp = 3
/
ATOMIC_SPECIES
Ge 72.64 Ge.upf
Er 167.26 Er.upf
Ac 227.00 Ac.upf
ATOMIC_POSITIONS angstrom
Ge -2.573 -4.917 -1.052
Ge -4.981 -2.074 3.048
Er -7.929 -2.744 2.647
Er -6.060 -4.304 4.826
Ac -2.350 -2.052 0.807
Ac -5.204 -4.938 1.188
CELL_PARAMETERS angstrom
-2.866 -1.312 -3.380
0.873 -4.432 0.979
-6.435 -0.057 5.478

! PBE AcErGe2, optimized geometry; values from VASP
! D(E_F)   3.18 states/eV per cell
! ΔH_f (0 K)   -0.472 eV per atom
&SYSTEM
  ibrav = 0, nat = 4, ntyp = 3
/
ATOMIC_SPECIES
Ge 72.64 Ge.upf
Er 167.26 Er.upf
Ac 227.00 Ac.upf
ATOMIC_POSITIONS angstrom
Ge 1.339 -0.316 2.383
Ge -2.336 -0.815 1.205
Er -1.353 0.507 4.005
Ac -0.357 1.638 0.418
CELL_PARAMETERS angstrom
-0.713 3.276 0.835
-4.672 -1.631 2.409
2.679 -0.632 4.766

! PBE AcErGe2, optimized geometry; values from VASP
! D(E_F)   3.16 states/eV per cell
! ΔH_f (0 K)   -0.628 eV per atom
&SYSTEM
  ibrav = 0, nat = 4, ntyp = 3
/
ATOMIC_SPECIES
Ge 72.64 Ge.upf
Ac 227.00 Ac.upf
Er 167.26 Er.upf
ATOMIC_POSITIONS angstrom
Ge -0.114 0.066 4.771
Ge -0.197 2.696 1.161
Ac -2.566 1.482 3.050
Er -2.583 4.075 0.168
CELL_PARAMETERS angstrom
4.820 -0.202 -0.168
-2.583 4.075 0.168
-2.548 -1.111 5.931

! PBE AcEr2Ge4, optimized geometry; values from VASP
! D(E_F)   2.89 states/eV per cell
! ΔH_f (0 K)   -0.735 eV per atom
&SYSTEM
  ibrav = 0, nat = 7, ntyp = 3
/
ATOMIC_SPECIES
Ge 72.64 Ge.upf
Er 167.26 Er.upf
Ac 227.00 Ac.upf
ATOMIC_POSITIONS angstrom
Ge 2.524 2.884 2.154
Ge 0.223 2.487 0.978
Ge 1.419 1.530 6.224
Ge 3.720 1.927 7.400
Er 3.159 3.568 4.936
Er 0.785 0.846 3.442
Ac 1.933 0.000 -0.441
CELL_PARAMETERS angstrom
3.866 0.000 -0.881
-0.226 4.249 -0.993
0.304 0.165 10.252

Q: The highest ΔH_f (0 K) belongs to which entry?
A: AcGdErZn

Q: Which formula does entry 11 have?
A: AcErGe2

Q: Among the records above, which one has the lowest ΔH_f (0 K)?
A: AcEr2Ge4

Q: Look up the ΔH_f (0 K) of the second one.
A: -0.169 eV per atom